Computed, not measured: crystalline SmDy2Er2In at its relaxed geometry at the GGA-PBE level of DFT.

Calculated values
Its symmetry is No. 58.

Unit cell a=6.606 b=10.111 c=5.452 alpha=90.00 beta=90.00 gamma=90.00
Sites, in units of the cell vectors:
1 Sm 0.000 0.000 0.000
2 Sm 0.500 0.500 0.500
3 Dy 0.213 0.194 0.500
4 Dy 0.287 0.694 0.000
5 Dy 0.713 0.306 0.000
6 Dy 0.787 0.806 0.500
7 Er 0.203 0.371 0.000
8 Er 0.297 0.871 0.500
9 Er 0.703 0.129 0.500
10 Er 0.797 0.629 0.000
11 In 0.000 0.500 0.500
12 In 0.500 0.000 0.000

Computed, not measured: crystalline SmDy2ErIn2 at its relaxed geometry at the GGA-PBE level of DFT.

Calculated values
Its symmetry is No. 26.

Unit cell a=5.212 b=9.827 c=6.736 alpha=90.00 beta=90.00 gamma=90.00
Sites, in units of the cell vectors:
1 Sm 0.000 0.037 0.000
2 Sm 0.000 0.963 0.500
3 Dy 0.000 0.321 0.352
4 Dy 0.000 0.679 0.852
5 Dy 0.500 0.460 0.070
6 Dy 0.500 0.540 0.570
7 Er 0.500 0.184 0.721
8 Er 0.500 0.816 0.221
9 In 0.000 0.357 0.825
10 In 0.000 0.643 0.325
11 In 0.500 0.143 0.251
12 In 0.500 0.857 0.751

Computed, not measured: crystalline Sm6Dy3Er2In at its relaxed geometry at the GGA-PBE level of DFT.

Calculated values
Its symmetry is No. 12.

Unit cell a=6.162 b=6.162 c=11.703 alpha=95.08 beta=95.08 gamma=120.10
Sites, in units of the cell vectors:
1 Sm 0.081 0.410 0.746
2 Sm 0.246 0.246 0.252
3 Sm 0.410 0.081 0.746
4 Sm 0.590 0.919 0.254
5 Sm 0.754 0.754 0.748
6 Sm 0.919 0.590 0.254
7 Dy 0.168 0.832 0.000
8 Dy 0.500 0.500 0.000
9 Dy 0.832 0.168 0.000
10 Er 0.334 0.666 0.500
11 Er 0.666 0.334 0.500
12 In 0.000 0.000 0.500

What are the total energy values for these records? In order: -51.80 -52.18 -54.40 eV per cell.
What are the formation energy values for these records? In order: -0.02 -0.35 -0.03 eV per atom.